# 1
DFT (PBE) results for a geometry-optimized Be2Mo2As structure.

a = 6.0126 Å, b = 6.0126 Å, c = 3.3362 Å
α = 90.00°, β = 90.00°, γ = 90.00°
Last column: nearest neighbours and their distance in Å.
Space group P4/mbm (No. 127)
Asymmetric unit:
Be: 0.1180 0.3820 0.0000  1 Be 2.01
Mo: 0.1787 0.6787 0.5000  6 Be 2.40-2.47
As: 0.0000 0.0000 0.0000  4 Be 2.40

# 2
DFT (PBE) results for a geometry-optimized BaAcSnSb structure.

Computed properties:
* uncorrected formation energy: -0.65 eV per atom

a = 8.3449 Å, b = 8.3449 Å, c = 8.3449 Å
α = 90.00°, β = 90.00°, γ = 90.00°
Last column: nearest neighbours and their distance in Å.
Space group F-43m (No. 216)
Asymmetric unit:
Ba: 0.0000 0.0000 0.0000  4 Sb 3.61, 4 Sn 3.61
Ac: 0.0000 0.0000 0.5000  4 Sn 3.61, 4 Sb 3.61
Sn: 0.2500 0.2500 0.7500  4 Ba 3.61, 4 Ac 3.61
Sb: 0.2500 0.2500 0.2500  4 Ba 3.61, 4 Ac 3.61

# 3
DFT (PBE) results for a geometry-optimized Dy2Y structure.

a = 3.5932 Å, b = 6.0831 Å, c = 17.4417 Å
α = 90.00°, β = 90.00°, γ = 90.00°
Last column: nearest neighbours and their distance in Å.
Space group Cmce (No. 64)
Asymmetric unit:
Dy: 0.0000 0.1689 0.1652  8 Dy 3.46-3.59, 3 Y 3.52-3.55
Y: 0.0000 0.0000 0.5000  6 Dy 3.52-3.55, 6 Y 3.53-3.59

# 4
DFT (PBE) results for a geometry-optimized Be2SiPb structure.

Computed properties:
* uncorrected formation energy: 0.86 eV per atom

a = 4.2141 Å, b = 4.2141 Å, c = 3.7013 Å
α = 90.00°, β = 90.00°, γ = 90.00°
Last column: nearest neighbours and their distance in Å.
Space group P4/mmm (No. 123)
Asymmetric unit:
Be: 0.0000 0.5000 0.0000  4 Pb 2.80, 4 Si 2.80, 4 Be 2.98
Si: 0.0000 0.0000 0.5000  8 Be 2.80, 4 Pb 2.98
Pb: 0.5000 0.5000 0.5000  8 Be 2.80, 4 Si 2.98

# 5
DFT (PBE) results for a geometry-optimized TlCuBiO4 structure.

Computed properties:
* uncorrected formation energy: -0.74 eV per atom

a = 6.1782 Å, b = 6.8909 Å, c = 10.0038 Å
α = 90.00°, β = 90.00°, γ = 90.00°
Last column: nearest neighbours and their distance in Å.
Space group Imma (No. 74)
Asymmetric unit:
Tl: 0.0000 0.0000 0.0000  6 O 2.29-2.38
Cu: 0.2500 0.2500 0.2500  4 O 2.00
Bi: 0.0000 0.2500 0.6689  4 O 2.14-2.40
O: 0.0000 0.0670 0.2329  2 Cu 2.00
O: 0.2408 0.2500 0.9737  1 Bi 2.14, 2 Tl 2.29

# 6
DFT (PBE) results for a geometry-optimized PuGa4Cu structure.

a = 7.6717 Å, b = 7.6717 Å, c = 7.6717 Å
α = 90.00°, β = 90.00°, γ = 90.00°
Last column: nearest neighbours and their distance in Å.
Space group F-43m (No. 216)
Asymmetric unit:
Pu: 0.0000 0.0000 0.0000  12 Ga 3.18, 4 Cu 3.32
Ga: 0.1250 0.1250 0.3750  6 Ga 2.71
Cu: 0.2500 0.2500 0.7500  12 Ga 3.18, 4 Pu 3.32

# 7
DFT (PBE) results for a geometry-optimized LiCuW2 structure.

a = 2.6044 Å, b = 4.0836 Å, c = 5.5567 Å
α = 90.00°, β = 90.00°, γ = 90.00°
Last column: nearest neighbours and their distance in Å.
Space group Pmm2 (No. 25)
Asymmetric unit:
Li: 0.0000 0.0000 0.0000  2 Li 2.60, 6 W 2.69-2.86, 4 Cu 2.71
Cu: 0.5000 0.5000 0.7817  2 Cu 2.60, 4 Li 2.71, 6 W 2.72-2.84
W: 0.0000 0.0000 0.5150  6 W 2.60-2.78, 2 Li 2.69-2.86, 4 Cu 2.84
W: 0.5000 0.5000 0.2705  6 W 2.60-2.78, 2 Cu 2.72-2.84, 4 Li 2.85

Number 1: E -6.80 eV per atom. Number 2: E -4.19 eV per atom. Number 3: E -5.18 eV per atom. Number 4: E -3.28 eV per atom. Number 5: E -5.05 eV per atom. Number 6: E -5.11 eV per atom. Number 7: E -7.57 eV per atom.